# 1
Entry from the Alexandria database: Y2ScCd at its PBEsol-relaxed geometry (meta-GGA SCAN).

Computed properties:
**Symmetry**: Immm (71)
**Magnetic moment**: 0.000 μB/f.u.
**Energy relative to the elements**: -0.1643 eV/atom
**Crystal system**: orthorhombic

Lattice parameters (Å, degrees): 3.787 5.072 6.253 113.93 107.63 90.00
Positions (direct):
1 Y 0.774 0.774 0.548
2 Y 0.226 0.226 0.452
3 Sc 0.000 0.500 0.000
4 Cd 0.500 0.000 0.000

=====

# 2
Entry from the Alexandria database: Y2ScCd at its PBEsol-relaxed geometry (meta-GGA SCAN).

Computed properties:
**Symmetry**: P4/mmm (123)
**Magnetic moment**: 1.170 μB/f.u.
**Energy relative to the elements**: -0.1957 eV/atom
**Crystal system**: tetragonal

Lattice parameters (Å, degrees): 3.509 3.509 8.500 90.00 90.00 90.00
Positions (direct):
1 Y 0.000 0.000 0.761
2 Y 0.000 0.000 0.239
3 Sc 0.500 0.500 0.500
4 Cd 0.500 0.500 0.000

=====

# 3
Entry from the Alexandria database: Y2ScCd at its PBEsol-relaxed geometry (meta-GGA SCAN).

Computed properties:
**Symmetry**: Amm2 (38)
**Magnetic moment**: 0.000 μB/f.u.
**Energy relative to the elements**: -0.1433 eV/atom
**Crystal system**: orthorhombic

Lattice parameters (Å, degrees): 3.439 4.976 6.372 90.00 105.66 90.00
Positions (direct):
1 Y 0.087 0.000 0.174
2 Y 0.420 0.500 0.840
3 Sc 0.689 0.500 0.377
4 Cd 0.820 0.000 0.640

=====

# 4
Entry from the Alexandria database: YSc2Cd at its PBEsol-relaxed geometry (meta-GGA SCAN).

Computed properties:
**Symmetry**: I-4m2 (119)
**Magnetic moment**: 1.054 μB/f.u.
**Energy relative to the elements**: -0.1288 eV/atom
**Crystal system**: tetragonal

Lattice parameters (Å, degrees): 4.546 4.546 5.592 113.98 113.98 90.00
Positions (direct):
1 Y 0.500 0.500 0.000
2 Sc 0.000 0.000 0.000
3 Sc 0.750 0.250 0.500
4 Cd 0.250 0.750 0.500

=====

# 5
Entry from the Alexandria database: Y2ScCd at its PBEsol-relaxed geometry (meta-GGA SCAN).

Computed properties:
**Symmetry**: R-3m (166)
**Magnetic moment**: 0.002 μB/f.u.
**Energy relative to the elements**: -0.0464 eV/atom
**Crystal system**: trigonal

Lattice parameters (Å, degrees): 3.447 3.447 10.600 80.64 80.64 60.00
Positions (direct):
1 Cd 0.500 0.500 0.500
2 Sc 0.000 0.000 0.000
3 Y 0.247 0.247 0.258
4 Y 0.753 0.753 0.742

=====

# 6
Entry from the Alexandria database: YSc2Cd at its PBEsol-relaxed geometry (meta-GGA SCAN).

Computed properties:
**Symmetry**: P4/mmm (123)
**Magnetic moment**: 0.000 μB/f.u.
**Energy relative to the elements**: -0.1553 eV/atom
**Crystal system**: tetragonal

Lattice parameters (Å, degrees): 3.348 3.348 8.592 90.00 90.00 90.00
Positions (direct):
1 Y 0.500 0.500 0.000
2 Sc 0.000 0.000 0.723
3 Sc 0.000 0.000 0.277
4 Cd 0.500 0.500 0.500

=====

# 7
Entry from the Alexandria database: Y2ScCd at its PBEsol-relaxed geometry (meta-GGA SCAN).

Computed properties:
**Symmetry**: P4mm (99)
**Magnetic moment**: 0.299 μB/f.u.
**Energy relative to the elements**: -0.1884 eV/atom
**Crystal system**: tetragonal

Lattice parameters (Å, degrees): 3.464 3.464 8.666 90.00 90.00 90.00
Positions (direct):
1 Y 0.000 0.000 0.985
2 Y 0.500 0.500 0.276
3 Sc 0.500 0.500 0.720
4 Cd 0.000 0.000 0.519

=====

# 8
Entry from the Alexandria database: YSc2Cd at its PBEsol-relaxed geometry (meta-GGA SCAN).

Computed properties:
**Symmetry**: Immm (71)
**Magnetic moment**: 0.000 μB/f.u.
**Energy relative to the elements**: -0.2060 eV/atom
**Crystal system**: orthorhombic

Lattice parameters (Å, degrees): 3.553 5.092 6.211 114.20 106.62 90.00
Positions (direct):
1 Y 0.500 0.000 0.000
2 Sc 0.725 0.725 0.450
3 Sc 0.275 0.275 0.550
4 Cd 0.000 0.500 0.000

=====

Which formula does entry 4 have?
YSc2Cd

=====

Please write out number 8 again, unchanged.
Entry from the Alexandria database: YSc2Cd at its PBEsol-relaxed geometry (meta-GGA SCAN).

Computed properties:
**Symmetry**: Immm (71)
**Magnetic moment**: 0.000 μB/f.u.
**Energy relative to the elements**: -0.2060 eV/atom
**Crystal system**: orthorhombic

Lattice parameters (Å, degrees): 3.553 5.092 6.211 114.20 106.62 90.00
Positions (direct):
1 Y 0.500 0.000 0.000
2 Sc 0.725 0.725 0.450
3 Sc 0.275 0.275 0.550
4 Cd 0.000 0.500 0.000

=====

The highest magnetic moment belongs to which entry?
number 2

=====

Which value of magnetic moment does entry 1 give?
0.000 μB/f.u.